Density functional theory data (PBE-GGA) for a relaxed ZrCd4Au crystal.

Geometry as CIF:
```
data_ZrCd4Au
_chemical_formula_sum 'Zr4 Cd16 Au4'
_cell_length_a 8.025
_cell_length_b 8.025
_cell_length_c 8.025
_cell_angle_alpha 90.00
_cell_angle_beta 90.00
_cell_angle_gamma 90.00
_symmetry_space_group_name_H-M 'F -4 3 m'
_symmetry_Int_Tables_number 216
_symmetry_space_group_name_Hall 'F -4 2 3'
loop_
_atom_site_label
_atom_site_fract_x
_atom_site_fract_y
_atom_site_fract_z
Zr1 0.000 0.000 0.000
Cd1 0.125 0.125 0.375
Au1 0.250 0.250 0.750
```

Output
Spin magnetization in μB per atom: 0.128
Calculated volume in Å³/cell: 516.8
Crystal system: cubic
E_form in eV per atom: 0.164